--- w ---
# TlAs2RhBr (PBE, optimized geometry)
data_TlAs2RhBr
_chemical_formula_sum 'Tl1 As2 Rh1 Br1'
_cell_length_a 5.270
_cell_length_b 5.270
_cell_length_c 5.668
_cell_angle_alpha 90.00
_cell_angle_beta 90.00
_cell_angle_gamma 90.00
_space_group_name_H-M_alt 'P 4/m m m'
_space_group_IT_number 123
_space_group_name_Hall '-P 4 2'
loop_
_atom_site_label
_atom_site_type_symbol
_atom_site_fract_x
_atom_site_fract_y
_atom_site_fract_z
_atom_site_occupancy
Tl1 Tl 0.000 0.000 0.000 1
As1 As 0.000 0.500 0.000 1
Rh1 Rh 0.500 0.500 0.500 1
Br1 Br 0.000 0.000 0.500 1
# Calculated volume ... 31.476 Å³/atom



--- x ---
# TlAs2RhBr (PBE, optimized geometry)
data_TlAs2RhBr
_chemical_formula_sum 'Tl1 As2 Rh1 Br1'
_cell_length_a 4.751
_cell_length_b 4.751
_cell_length_c 5.989
_cell_angle_alpha 90.00
_cell_angle_beta 90.00
_cell_angle_gamma 90.00
_space_group_name_H-M_alt 'P 4/m m m'
_space_group_IT_number 123
_space_group_name_Hall '-P 4 2'
loop_
_atom_site_label
_atom_site_type_symbol
_atom_site_fract_x
_atom_site_fract_y
_atom_site_fract_z
_atom_site_occupancy
Tl1 Tl 0.000 0.000 0.000 1
As1 As 0.000 0.500 0.500 1
Rh1 Rh 0.500 0.500 0.500 1
Br1 Br 0.500 0.500 0.000 1
# Calculated volume ... 27.032 Å³/atom



x is the most stable structure; the next one sits 1295 meV per atom above it.



--- w ---
# VAs2RhBr (PBE, optimized geometry)
data_VAs2RhBr
_chemical_formula_sum 'V1 As2 Rh1 Br1'
_cell_length_a 4.711
_cell_length_b 4.711
_cell_length_c 5.338
_cell_angle_alpha 90.00
_cell_angle_beta 90.00
_cell_angle_gamma 90.00
_space_group_name_H-M_alt 'P 4/m m m'
_space_group_IT_number 123
_space_group_name_Hall '-P 4 2'
loop_
_atom_site_label
_atom_site_type_symbol
_atom_site_fract_x
_atom_site_fract_y
_atom_site_fract_z
_atom_site_occupancy
V1 V 0.000 0.000 0.000 1
As1 As 0.000 0.500 0.500 1
Rh1 Rh 0.500 0.500 0.500 1
Br1 Br 0.500 0.500 0.000 1
# Calculated volume ... 23.697 Å³/atom



--- x ---
# VAs2RhBr (PBE, optimized geometry)
data_VAs2RhBr
_chemical_formula_sum 'V1 As2 Rh1 Br1'
_cell_length_a 4.674
_cell_length_b 4.674
_cell_length_c 5.044
_cell_angle_alpha 90.00
_cell_angle_beta 90.00
_cell_angle_gamma 90.00
_space_group_name_H-M_alt 'P 4/m m m'
_space_group_IT_number 123
_space_group_name_Hall '-P 4 2'
loop_
_atom_site_label
_atom_site_type_symbol
_atom_site_fract_x
_atom_site_fract_y
_atom_site_fract_z
_atom_site_occupancy
V1 V 0.000 0.000 0.000 1
As1 As 0.000 0.500 0.000 1
Rh1 Rh 0.500 0.500 0.500 1
Br1 Br 0.000 0.000 0.500 1
# Calculated volume ... 22.039 Å³/atom



w is the most stable structure; the next one sits 20 meV per atom above it.



--- w ---
# YAs2RhBr (PBE, optimized geometry)
data_YAs2RhBr
_chemical_formula_sum 'Y1 As2 Rh1 Br1'
_cell_length_a 4.817
_cell_length_b 4.817
_cell_length_c 5.105
_cell_angle_alpha 90.00
_cell_angle_beta 90.00
_cell_angle_gamma 90.00
_space_group_name_H-M_alt 'P 4/m m m'
_space_group_IT_number 123
_space_group_name_Hall '-P 4 2'
loop_
_atom_site_label
_atom_site_type_symbol
_atom_site_fract_x
_atom_site_fract_y
_atom_site_fract_z
_atom_site_occupancy
Y1 Y 0.000 0.000 0.000 1
As1 As 0.000 0.500 0.500 1
Rh1 Rh 0.500 0.500 0.500 1
Br1 Br 0.500 0.500 0.000 1
# Calculated volume ... 23.691 Å³/atom



--- x ---
# YAs2RhBr (PBE, optimized geometry)
data_YAs2RhBr
_chemical_formula_sum 'Y1 As2 Rh1 Br1'
_cell_length_a 5.458
_cell_length_b 5.458
_cell_length_c 5.365
_cell_angle_alpha 90.00
_cell_angle_beta 90.00
_cell_angle_gamma 90.00
_space_group_name_H-M_alt 'P 4/m m m'
_space_group_IT_number 123
_space_group_name_Hall '-P 4 2'
loop_
_atom_site_label
_atom_site_type_symbol
_atom_site_fract_x
_atom_site_fract_y
_atom_site_fract_z
_atom_site_occupancy
Y1 Y 0.000 0.000 0.000 1
As1 As 0.000 0.500 0.000 1
Rh1 Rh 0.500 0.500 0.500 1
Br1 Br 0.000 0.000 0.500 1
# Calculated volume ... 31.963 Å³/atom



w is the most stable structure; the next one sits 831 meV per atom above it.



--- w ---
# ZrAs2RhBr (PBE, optimized geometry)
data_ZrAs2RhBr
_chemical_formula_sum 'Zr1 As2 Rh1 Br1'
_cell_length_a 5.189
_cell_length_b 5.189
_cell_length_c 5.204
_cell_angle_alpha 90.00
_cell_angle_beta 90.00
_cell_angle_gamma 90.00
_space_group_name_H-M_alt 'P 4/m m m'
_space_group_IT_number 123
_space_group_name_Hall '-P 4 2'
loop_
_atom_site_label
_atom_site_type_symbol
_atom_site_fract_x
_atom_site_fract_y
_atom_site_fract_z
_atom_site_occupancy
Zr1 Zr 0.000 0.000 0.000 1
As1 As 0.000 0.500 0.000 1
Rh1 Rh 0.500 0.500 0.500 1
Br1 Br 0.000 0.000 0.500 1
# Calculated volume ... 28.026 Å³/atom



--- x ---
# ZrAs2RhBr (PBE, optimized geometry)
data_ZrAs2RhBr
_chemical_formula_sum 'Zr1 As2 Rh1 Br1'
_cell_length_a 4.797
_cell_length_b 4.797
_cell_length_c 4.917
_cell_angle_alpha 90.00
_cell_angle_beta 90.00
_cell_angle_gamma 90.00
_space_group_name_H-M_alt 'P 4/m m m'
_space_group_IT_number 123
_space_group_name_Hall '-P 4 2'
loop_
_atom_site_label
_atom_site_type_symbol
_atom_site_fract_x
_atom_site_fract_y
_atom_site_fract_z
_atom_site_occupancy
Zr1 Zr 0.000 0.000 0.000 1
As1 As 0.000 0.500 0.500 1
Rh1 Rh 0.500 0.500 0.500 1
Br1 Br 0.500 0.500 0.000 1
# Calculated volume ... 22.630 Å³/atom



x is the most stable structure; the next one sits 274 meV per atom above it.



--- w ---
# ZrAsRhBr2 (PBE, optimized geometry)
data_ZrAsRhBr2
_chemical_formula_sum 'Zr1 As1 Rh1 Br2'
_cell_length_a 5.242
_cell_length_b 5.242
_cell_length_c 5.344
_cell_angle_alpha 90.00
_cell_angle_beta 90.00
_cell_angle_gamma 90.00
_space_group_name_H-M_alt 'P 4/m m m'
_space_group_IT_number 123
_space_group_name_Hall '-P 4 2'
loop_
_atom_site_label
_atom_site_type_symbol
_atom_site_fract_x
_atom_site_fract_y
_atom_site_fract_z
_atom_site_occupancy
Zr1 Zr 0.000 0.000 0.000 1
As1 As 0.000 0.000 0.500 1
Rh1 Rh 0.500 0.500 0.500 1
Br1 Br 0.000 0.500 0.000 1
# Calculated volume ... 29.368 Å³/atom



--- x ---
# ZrAsRhBr2 (PBE, optimized geometry)
data_ZrAsRhBr2
_chemical_formula_sum 'Zr1 As1 Rh1 Br2'
_cell_length_a 4.909
_cell_length_b 4.909
_cell_length_c 4.958
_cell_angle_alpha 90.00
_cell_angle_beta 90.00
_cell_angle_gamma 90.00
_space_group_name_H-M_alt 'P 4/m m m'
_space_group_IT_number 123
_space_group_name_Hall '-P 4 2'
loop_
_atom_site_label
_atom_site_type_symbol
_atom_site_fract_x
_atom_site_fract_y
_atom_site_fract_z
_atom_site_occupancy
Zr1 Zr 0.000 0.000 0.000 1
As1 As 0.500 0.500 0.000 1
Rh1 Rh 0.500 0.500 0.500 1
Br1 Br 0.000 0.500 0.500 1
# Calculated volume ... 23.895 Å³/atom



w is the most stable structure; the next one sits 29 meV per atom above it.



--- w ---
# AsRuBr2 (PBE, optimized geometry)
data_AsRuBr2
_chemical_formula_sum 'As1 Ru1 Br2'
_cell_length_a 3.501
_cell_length_b 3.501
_cell_length_c 7.797
_cell_angle_alpha 90.00
_cell_angle_beta 90.00
_cell_angle_gamma 90.00
_space_group_name_H-M_alt 'P 4 m m'
_space_group_IT_number 99
_space_group_name_Hall 'P 4 -2'
loop_
_atom_site_label
_atom_site_type_symbol
_atom_site_fract_x
_atom_site_fract_y
_atom_site_fract_z
_atom_site_occupancy
As1 As 0.000 0.000 0.000 1
Ru1 Ru 0.500 0.500 0.890 1
Br1 Br 0.000 0.000 0.656 1
Br2 Br 0.500 0.500 0.228 1
# Calculated volume ... 23.888 Å³/atom



--- x ---
# AsRuBr2 (PBE, optimized geometry)
data_AsRuBr2
_chemical_formula_sum 'As2 Ru2 Br4'
_cell_length_a 3.125
_cell_length_b 5.841
_cell_length_c 9.364
_cell_angle_alpha 90.00
_cell_angle_beta 90.00
_cell_angle_gamma 90.00
_space_group_name_H-M_alt 'C m m m'
_space_group_IT_number 65
_space_group_name_Hall '-C 2 2'
loop_
_atom_site_label
_atom_site_type_symbol
_atom_site_fract_x
_atom_site_fract_y
_atom_site_fract_z
_atom_site_occupancy
As1 As 0.000 0.000 0.000 1
Ru1 Ru 0.000 0.000 0.500 1
Br1 Br 0.000 0.500 0.289 1
# Calculated volume ... 21.367 Å³/atom



--- y ---
# AsRuBr2 (PBE, optimized geometry)
data_AsRuBr2
_chemical_formula_sum 'As2 Ru2 Br4'
_cell_length_a 15.696
_cell_length_b 3.283
_cell_length_c 4.032
_cell_angle_alpha 90.00
_cell_angle_beta 97.43
_cell_angle_gamma 90.00
_space_group_name_H-M_alt 'C 1 2/m 1'
_space_group_IT_number 12
_space_group_name_Hall '-C 2y'
loop_
_atom_site_label
_atom_site_type_symbol
_atom_site_fract_x
_atom_site_fract_y
_atom_site_fract_z
_atom_site_occupancy
As1 As 0.000 0.000 0.000 1
Ru1 Ru 0.000 0.500 0.500 1
Br1 Br 0.141 0.000 0.694 1
# Calculated volume ... 25.755 Å³/atom



y is the most stable structure; the next one sits 74 meV per atom above it.